CaSc2Mo: relaxed, PBE.

```
data_CaSc2Mo
_chemical_formula_sum 'Ca3 Sc6 Mo3'
_cell_length_a 3.3864
_cell_length_b 3.3864
_cell_length_c 30.3833
_cell_angle_alpha 90.00
_cell_angle_beta 90.00
_cell_angle_gamma 120.00
_space_group_name_H-M_alt 'R -3 m'
_space_group_IT_number 166
_space_group_name_Hall '-R 3 2"'
loop_
_atom_site_label
_atom_site_fract_x
_atom_site_fract_y
_atom_site_fract_z
Ca1 0.0000 0.0000 0.0000
Sc1 0.0000 0.0000 0.2303
Mo1 0.0000 0.0000 0.5000
```

Summary:
Fermi-level density of states = 1.222 states/eV/atom
crystal system = trigonal
formation energy from the elements = 0.3121 eV per atom
volume = 301.8 Å³/cell


CaSc2Mo: relaxed, PBE.

```
data_CaSc2Mo
_chemical_formula_sum 'Ca4 Sc8 Mo4'
_cell_length_a 6.882
_cell_length_b 6.882
_cell_length_c 12.453
_cell_angle_alpha 90.00
_cell_angle_beta 90.00
_cell_angle_gamma 90.00
_space_group_name_H-M_alt 'I 41/a m d'
_space_group_IT_number 141
loop_
_space_group_symop_operation_xyz
'x,y,z'
'-x,-y,-z'
'-y+1/4,x+3/4,z+1/4'
'y+1/4,-x+3/4,-z+1/4'
'-x+1/2,-y,z+1/2'
'x+1/2,y,-z+1/2'
'y+1/4,-x+1/4,z+3/4'
'-y+1/4,x+1/4,-z+3/4'
'x,-y,-z'
'-x,y,z'
'-y+1/4,-x+1/4,-z+3/4'
'y+1/4,x+1/4,z+3/4'
'-x+1/2,y,-z+1/2'
'x+1/2,-y,z+1/2'
'y+1/4,x+3/4,-z+1/4'
'-y+1/4,-x+3/4,z+1/4'
'x+1/2,y+1/2,z+1/2'
'-x+1/2,-y+1/2,-z+1/2'
'-y+3/4,x+1/4,z+3/4'
'y+3/4,-x+1/4,-z+3/4'
'-x,-y+1/2,z'
'x,y+1/2,-z'
'y+3/4,-x+3/4,z+1/4'
'-y+3/4,x+3/4,-z+1/4'
'x+1/2,-y+1/2,-z+1/2'
'-x+1/2,y+1/2,z+1/2'
'-y+3/4,-x+3/4,-z+1/4'
'y+3/4,x+3/4,z+1/4'
'-x,y+1/2,-z'
'x,-y+1/2,z'
'y+3/4,x+1/4,-z+3/4'
'-y+3/4,-x+1/4,z+3/4'
loop_
_atom_site_label
_atom_site_fract_x
_atom_site_fract_y
_atom_site_fract_z
Ca1 0.000 0.250 0.375
Sc1 0.000 0.000 0.000
Mo1 0.000 0.250 0.875
```

Summary:
Fermi-level density of states = 0.018 states/eV/atom
crystal system = tetragonal
formation energy from the elements = 1.0226 eV per atom
volume = 589.8 Å³/cell